1.
A relaxed TaAsSe3 crystal, computed with PBE.

Cell and atoms, written as extended XYZ:
```
5
Lattice="-3.004 1.950 3.351 -0.818 -4.463 1.864 3.790 0.582 3.058" Properties=species:S:1:pos:R:3 pbc="T T T"
As 0.000 0.000 0.000
Se -1.502 0.975 1.676
Se -0.409 -2.231 0.932
Ta -0.016 -0.965 4.137
Se 1.895 0.291 1.529
```

Computed properties:
As for the total magnetic moment: 2.0 μB per cell. Its space-group type is Pm-3m. As for the energy relative to the elements, uncorrected: 0.941 eV/atom.


2.
A relaxed Hg5Sb crystal, computed with PBE.

Cell and atoms, written as extended XYZ:
```
6
Lattice="1.315 3.280 -4.472 -3.011 2.159 4.331 4.765 1.552 2.540" Properties=species:S:1:pos:R:3 pbc="T T T"
Hg 0.813 3.309 2.666
Hg 0.872 2.174 -2.964
Sb 2.383 0.776 1.270
Hg -1.996 1.431 2.871
Hg 2.255 3.683 -0.268
Hg -0.572 1.834 -0.048
```

Computed properties:
As for the total magnetic moment: 0.0 μB per cell. Its space-group type is P-62m. As for the energy relative to the elements, uncorrected: 0.121 eV/atom.


3.
A relaxed TaBeW2 crystal, computed with PBE.

Cell and atoms, written as extended XYZ:
```
4
Lattice="3.199 0.000 0.000 0.000 3.199 0.000 0.000 0.000 5.873" Properties=species:S:1:pos:R:3 pbc="T T T"
Ta 1.599 1.599 4.292
W 0.000 0.000 0.064
W 1.599 1.599 1.601
Be 0.000 0.000 2.852
```

Computed properties:
As for the total magnetic moment: 0.0 μB per cell. Its space-group type is P4mm. The energy of formation is 69 meV/atom.


4.
A relaxed Pr2P2Rh5 crystal, computed with PBE.

Cell and atoms, written as extended XYZ:
```
9
Lattice="4.076 0.000 0.000 0.000 4.076 0.000 0.000 0.000 10.954" Properties=species:S:1:pos:R:3 pbc="T T T"
Pr 0.000 0.000 5.477
Rh 2.038 0.000 8.731
Pr 0.000 0.000 0.000
Rh 2.038 2.038 5.477
Rh 0.000 2.038 2.224
Rh 0.000 2.038 8.731
P 2.038 2.038 3.207
Rh 2.038 0.000 2.224
P 2.038 2.038 7.748
```

Computed properties:
As for the total magnetic moment: 0.0 μB per cell. Its space-group type is P4/mmm. The energy of formation is -731 meV/atom.


5.
A relaxed SmReI crystal, computed with PBE.

Cell and atoms, written as extended XYZ:
```
6
Lattice="-3.205 -1.178 -1.643 1.121 -5.904 2.046 -2.090 11.643 4.470" Properties=species:S:1:pos:R:3 pbc="T T T"
Re -2.152 7.732 5.211
Sm -1.445 1.245 4.111
I -1.747 0.256 1.036
Re -2.022 -3.170 -0.337
I -2.427 4.306 3.838
Sm -2.728 3.316 0.763
```

Computed properties:
As for the total magnetic moment: 0.0 μB per cell. Its space-group type is P2_1/m. As for the energy relative to the elements, uncorrected: 0.024 eV/atom.


6.
A relaxed Al2ZnNi4 crystal, computed with PBE.

Cell and atoms, written as extended XYZ:
```
7
Lattice="4.624 0.016 -1.618 -2.301 3.993 -1.664 0.009 -0.016 4.899" Properties=species:S:1:pos:R:3 pbc="T T T"
Ni 0.005 -0.008 2.450
Al 1.162 2.004 -1.641
Zn 0.000 0.000 0.000
Ni 1.166 1.996 0.809
Ni -1.150 1.996 -0.832
Ni 2.312 0.008 -0.809
Al 2.317 0.000 1.641
```

Computed properties:
As for the total magnetic moment: 0.0 μB per cell. Its space-group type is I4/mmm. The energy of formation is -261 meV/atom.


7.
A relaxed Ac2AlCd3 crystal, computed with PBE.

Cell and atoms, written as extended XYZ:
```
6
Lattice="-3.499 0.059 -1.882 0.033 -5.054 -0.221 -4.147 -0.363 7.697" Properties=species:S:1:pos:R:3 pbc="T T T"
Cd -4.480 -2.738 4.048
Ac -0.014 -2.530 -0.054
Cd -5.198 -0.272 5.460
Ac -2.046 -0.179 3.798
Cd -2.455 -0.032 0.369
Al -3.122 -2.619 1.526
```

Computed properties:
As for the total magnetic moment: 0.0 μB per cell. Its space-group type is Pmm2. The energy of formation is -318 meV/atom.


8.
A relaxed ZrTa2Rh crystal, computed with PBE.

Cell and atoms, written as extended XYZ:
```
4
Lattice="-0.217 -2.671 1.899 2.858 0.777 1.420 -3.279 3.570 4.646" Properties=species:S:1:pos:R:3 pbc="T T T"
Rh -1.177 1.772 5.198
Zr -1.661 1.808 2.353
Ta -3.260 3.549 4.619
Ta 0.541 -0.099 2.764
```

Computed properties:
As for the total magnetic moment: 0.0 μB per cell. Its space-group type is P4mm. The energy of formation is -326 meV/atom.